1.
Material: ScNi2NF
Method: DFT, PBEsol
State: optimized geometry

Cell: 3.563 3.563 4.566 Å, 90.00 90.00 90.00°
Fractional positions:
1 Sc 0.000 0.000 0.000
2 Ni 0.000 0.500 0.500
3 Ni 0.500 0.000 0.500
4 N 0.000 0.000 0.500
5 F 0.500 0.500 0.000

Output
Density   5.6 g/cm³
Symmetry   P4/mmm (123)
Uncorrected formation energy   -1.04 eV per atom


2.
Material: ReBiBS2
Method: DFT, PBEsol
State: optimized geometry

Cell: 5.216 5.216 5.345 Å, 90.00 90.00 90.00°
Fractional positions:
1 Re 0.000 0.000 0.000
2 Bi 0.000 0.000 0.500
3 B 0.500 0.500 0.000
4 S 0.000 0.500 0.500
5 S 0.500 0.000 0.500

Output
Density   5.4 g/cm³
Symmetry   P4/mmm (123)
Uncorrected formation energy   2.57 eV per atom


3.
Material: CsLiTe2
Method: DFT, PBEsol
State: optimized geometry

Cell: 9.967 9.967 9.967 Å, 145.32 145.32 49.86°
Fractional positions:
1 Cs 0.000 0.000 0.000
2 Cs 0.750 0.250 0.500
3 Li 0.250 0.750 0.500
4 Li 0.500 0.500 0.000
5 Te 0.320 0.625 0.195
6 Te 0.375 0.570 0.695
7 Te 0.430 0.125 0.805
8 Te 0.875 0.680 0.305

Output
Density   4.1 g/cm³
Symmetry   I-42d (122)
Uncorrected formation energy   -0.79 eV per atom


4.
Material: CdTe2Au2
Method: DFT, PBEsol
State: optimized geometry

Cell: 6.954 6.954 6.954 Å, 142.33 142.33 54.34°
Fractional positions:
1 Cd 0.000 0.000 0.000
2 Te 0.250 0.750 0.500
3 Te 0.750 0.250 0.500
4 Au 0.395 0.395 0.000
5 Au 0.605 0.605 0.000

Output
Density   10.1 g/cm³
Symmetry   I4/mmm (139)
Uncorrected formation energy   0.28 eV per atom


5.
Material: Li2TaOs
Method: DFT, PBEsol
State: optimized geometry

Cell: 5.557 5.557 2.775 Å, 103.23 103.23 124.46°
Fractional positions:
1 Li 0.000 0.500 0.000
2 Li 0.500 0.000 0.000
3 Ta 0.000 0.000 0.500
4 Os 0.500 0.500 0.500

Output
Density   10.4 g/cm³
Energy of formation   1.105 eV/f.u.
Symmetry   C2/m (12)
ΔE to the lowest computed polymorph   70 meV/atom


6.
Material: MgCoSe2
Method: DFT, PBEsol
State: optimized geometry

Cell: 7.877 7.877 7.877 Å, 25.80 25.80 25.80°
Fractional positions:
1 Mg 0.000 0.000 0.000
2 Co 0.500 0.500 0.500
3 Se 0.115 0.115 0.115
4 Se 0.885 0.885 0.885

Output
Density   4.9 g/cm³
Symmetry   R-3m (166)
Uncorrected formation energy   -0.31 eV per atom
ΔE to the lowest computed polymorph   208 meV/atom


7.
Material: Zr2ScRe
Method: DFT, PBEsol
State: optimized geometry

Cell: 9.533 9.533 9.533 Å, 19.20 19.20 19.20°
Fractional positions:
1 Zr 0.239 0.239 0.239
2 Zr 0.761 0.761 0.761
3 Sc 0.000 0.000 0.000
4 Re 0.500 0.500 0.500

Output
Density   8.4 g/cm³
Energy of formation   0.526 eV/f.u.
Symmetry   R-3m (166)


8.
Material: K2ReBMo
Method: DFT, PBEsol
State: optimized geometry

Cell: 6.356 6.356 3.960 Å, 90.00 90.00 90.00°
Fractional positions:
1 K 0.000 0.500 0.000
2 K 0.500 0.000 0.000
3 Re 0.000 0.000 0.500
4 B 0.500 0.500 0.500
5 Mo 0.500 0.500 0.000

Output
Density   3.9 g/cm³
Energy of formation   12.823 eV/f.u.
Symmetry   P4/mmm (123)


9.
Material: EuAlGa
Method: DFT, PBEsol
State: optimized geometry

Cell: 5.768 5.768 7.447 Å, 129.52 129.52 46.41°
Fractional positions:
1 Eu 0.048 0.048 0.300
2 Eu 0.952 0.952 0.700
3 Al 0.336 0.336 0.902
4 Al 0.664 0.664 0.098
5 Ga 0.339 0.339 0.281
6 Ga 0.661 0.661 0.719

Output
Density   6.4 g/cm³
Energy of formation   -1.540 eV/f.u.
Symmetry   C2/m (12)


10.
Material: LaCoGe3
Method: DFT, PBEsol
State: optimized geometry

Cell: 4.594 4.594 4.594 Å, 90.00 90.00 90.00°
Fractional positions:
1 La 0.000 0.000 0.000
2 Co 0.500 0.500 0.500
3 Ge 0.000 0.500 0.500
4 Ge 0.500 0.000 0.500
5 Ge 0.500 0.500 0.000

Output
Density   7.1 g/cm³
Energy of formation   -1.278 eV/f.u.
Symmetry   Pm-3m (221)


11.
Material: Sr15Pd5O24
Method: DFT, PBEsol
State: optimized geometry

Cell: 9.617 9.617 9.617 Å, 60.03 60.03 60.03°
Fractional positions:
1 Sr 0.000 0.000 0.000
2 Sr 0.000 0.369 0.631
3 Sr 0.124 0.750 0.384
4 Sr 0.140 0.500 0.860
5 Sr 0.250 0.876 0.616
6 Sr 0.251 0.251 0.251
7 Sr 0.369 0.631 0.000
8 Sr 0.384 0.124 0.750
9 Sr 0.500 0.860 0.140
10 Sr 0.616 0.250 0.876
11 Sr 0.631 0.000 0.369
12 Sr 0.749 0.749 0.749
13 Sr 0.750 0.384 0.124
14 Sr 0.860 0.140 0.500
15 Sr 0.876 0.616 0.250
16 Pd 0.125 0.125 0.125
17 Pd 0.376 0.376 0.376
18 Pd 0.500 0.500 0.500
19 Pd 0.624 0.624 0.624
20 Pd 0.875 0.875 0.875
21 O 0.008 0.800 0.666
22 O 0.052 0.261 0.913
23 O 0.087 0.739 0.948
24 O 0.167 0.511 0.300
25 O 0.200 0.992 0.334
26 O 0.251 0.455 0.579
27 O 0.261 0.913 0.052
28 O 0.300 0.167 0.511
29 O 0.334 0.200 0.992
30 O 0.421 0.545 0.749
31 O 0.455 0.579 0.251
32 O 0.489 0.833 0.700
33 O 0.511 0.300 0.167
34 O 0.545 0.749 0.421
35 O 0.579 0.251 0.455
36 O 0.666 0.008 0.800
37 O 0.700 0.489 0.833
38 O 0.739 0.948 0.087
39 O 0.749 0.421 0.545
40 O 0.800 0.666 0.008
41 O 0.833 0.700 0.489
42 O 0.913 0.052 0.261
43 O 0.948 0.087 0.739
44 O 0.992 0.334 0.200

Output
Density   5.9 g/cm³
Symmetry   R32 (155)
Uncorrected formation energy   -2.14 eV per atom


12.
Material: SbAsRu2Pb
Method: DFT, PBEsol
State: optimized geometry

Cell: 4.945 4.945 5.485 Å, 90.00 90.00 90.00°
Fractional positions:
1 Sb 0.000 0.000 0.000
2 As 0.500 0.500 0.000
3 Ru 0.000 0.500 0.500
4 Ru 0.500 0.000 0.500
5 Pb 0.000 0.000 0.500

Output
Density   7.5 g/cm³
Symmetry   P4/mmm (123)
Uncorrected formation energy   2.11 eV per atom


13.
Material: CaTaNbPb2
Method: DFT, PBEsol
State: optimized geometry

Cell: 5.338 5.338 4.562 Å, 90.00 90.00 90.00°
Fractional positions:
1 Ca 0.000 0.000 0.000
2 Ta 0.500 0.500 0.500
3 Nb 0.000 0.000 0.500
4 Pb 0.000 0.500 0.000
5 Pb 0.500 0.000 0.000

Output
Density   9.3 g/cm³
Energy of formation   10.377 eV/f.u.
Symmetry   P4/mmm (123)


14.
Material: TiBeTe2
Method: DFT, PBEsol
State: optimized geometry

Cell: 6.950 6.950 6.950 Å, 127.08 127.08 78.13°
Fractional positions:
1 Ti 0.000 0.000 0.000
2 Ti 0.750 0.250 0.500
3 Be 0.250 0.750 0.500
4 Be 0.500 0.500 0.000
5 Te 0.168 0.125 0.543
6 Te 0.375 0.832 0.957
7 Te 0.582 0.625 0.457
8 Te 0.875 0.418 0.043

Output
Density   5.0 g/cm³
Symmetry   I-42d (122)
Uncorrected formation energy   -0.14 eV per atom


15.
Material: TeOs2Pb
Method: DFT, PBEsol
State: optimized geometry

Cell: 5.552 5.552 5.552 Å, 147.45 123.53 66.72°
Fractional positions:
1 Te 0.000 0.000 0.000
2 Os 0.230 0.730 0.500
3 Os 0.770 0.270 0.500
4 Pb 0.500 0.500 0.000

Output
Density   15.7 g/cm³
Symmetry   Immm (71)
Uncorrected formation energy   1.25 eV per atom
ΔE to the lowest computed polymorph   337 meV/atom


16.
Material: Cs2YBr
Method: DFT, PBEsol
State: optimized geometry

Cell: 9.529 9.529 9.529 Å, 94.86 94.86 146.17°
Fractional positions:
1 Cs 0.375 0.241 0.366
2 Cs 0.759 0.125 0.134
3 Cs 0.875 0.009 0.634
4 Cs 0.991 0.625 0.866
5 Y 0.250 0.750 0.500
6 Y 0.500 0.500 0.000
7 Br 0.000 0.000 0.000
8 Br 0.750 0.250 0.500

Output
Density   3.1 g/cm³
Symmetry   I-42d (122)
Uncorrected formation energy   -0.18 eV per atom


17.
Material: CrFe2Tc
Method: DFT, PBEsol
State: optimized geometry

Cell: 4.745 4.745 4.745 Å, 143.92 131.02 62.32°
Fractional positions:
1 Cr 0.000 0.000 0.000
2 Fe 0.245 0.745 0.500
3 Fe 0.755 0.255 0.500
4 Tc 0.500 0.500 0.000

Output
Density   9.3 g/cm³
Energy of formation   0.447 eV/f.u.
Symmetry   Immm (71)


18.
Material: Ba4Sm3Cl16
Method: DFT, PBEsol
State: optimized geometry

Cell: 11.109 11.109 11.109 Å, 72.55 72.55 72.55°
Fractional positions:
1 Ba 0.177 0.426 0.627
2 Ba 0.231 0.231 0.231
3 Ba 0.373 0.823 0.574
4 Ba 0.426 0.627 0.177
5 Ba 0.574 0.373 0.823
6 Ba 0.627 0.177 0.426
7 Ba 0.769 0.769 0.769
8 Ba 0.823 0.574 0.373
9 Sm 0.036 0.884 0.338
10 Sm 0.116 0.662 0.964
11 Sm 0.338 0.036 0.884
12 Sm 0.662 0.964 0.116
13 Sm 0.884 0.338 0.036
14 Sm 0.964 0.116 0.662
15 Cl 0.012 0.453 0.145
16 Cl 0.046 0.331 0.472
17 Cl 0.054 0.844 0.748
18 Cl 0.102 0.683 0.211
19 Cl 0.145 0.012 0.453
20 Cl 0.156 0.252 0.946
21 Cl 0.211 0.102 0.683
22 Cl 0.250 0.698 0.432
23 Cl 0.252 0.946 0.156
24 Cl 0.302 0.568 0.750
25 Cl 0.317 0.789 0.898
26 Cl 0.331 0.472 0.046
27 Cl 0.370 0.370 0.370
28 Cl 0.432 0.250 0.698
29 Cl 0.453 0.145 0.012
30 Cl 0.472 0.046 0.331
31 Cl 0.528 0.954 0.669
32 Cl 0.547 0.855 0.988
33 Cl 0.568 0.750 0.302
34 Cl 0.630 0.630 0.630
35 Cl 0.669 0.528 0.954
36 Cl 0.683 0.211 0.102
37 Cl 0.698 0.432 0.250
38 Cl 0.748 0.054 0.844
39 Cl 0.750 0.302 0.568
40 Cl 0.789 0.898 0.317
41 Cl 0.844 0.748 0.054
42 Cl 0.855 0.988 0.547
43 Cl 0.898 0.317 0.789
44 Cl 0.946 0.156 0.252
45 Cl 0.954 0.669 0.528
46 Cl 0.988 0.547 0.855

Output
Density   4.3 g/cm³
Symmetry   R-3 (148)
Uncorrected formation energy   -2.39 eV per atom


19.
Material: Be3Pt
Method: DFT, PBEsol
State: optimized geometry

Cell: 4.406 4.406 4.406 Å, 116.32 116.32 116.32°
Fractional positions:
1 Be 0.000 0.500 0.500
2 Be 0.500 0.000 0.500
3 Be 0.500 0.500 0.000
4 Pt 0.000 0.000 0.000

Output
Density   8.9 g/cm³
Energy of formation   -0.873 eV/f.u.
Symmetry   R-3m (166)


20.
Material: IrRu2Rh
Method: DFT, PBEsol
State: optimized geometry

Cell: 4.634 4.634 4.635 Å, 99.53 99.53 33.49°
Fractional positions:
1 Ir 0.000 0.000 0.000
2 Ru 0.252 0.252 0.752
3 Ru 0.504 0.504 0.506
4 Rh 0.753 0.753 0.256

Output
Density   15.3 g/cm³
Energy of formation   0.042 eV/f.u.
Symmetry   Cm (8)
ΔE to the lowest computed polymorph   1 meV/atom